The following is a DFT calculation (PBE) of a relaxed structure of Al5Cr.

Lattice parameters (Å, degrees): 5.2232 5.2232 4.5612 90.00 90.00 120.00
Space group P6/mmm (No. 191)
Asymmetric unit:
1 Al 0.0000 0.5000 0.0000
2 Al 0.3333 0.6667 0.5000
3 Cr 0.0000 0.0000 0.5000

Computed properties:
Calculated volume   17.96 Å³ per atom
DFT formation energy   329 meV per atom
Calculated total energy   -26.4 eV/cell